# PmGdSnBr

Crystalline PmGdSnBr at its relaxed geometry (PBE, Alexandria via LeMat-Bulk).

Summary:
Symmetry: F-43m (216)
Calculated total energy (Ry per atom): -0.5137
Magnetization (μB per atom): 1.91
Mass density (g/cm3): 7.5
N(E_F) (states/eV per cell): 4.95
Crystal system: cubic

a b c (Å): 5.3930 5.3930 5.3930
angles (deg): 60.00 60.00 60.00
Positions (direct):
Pm1 0.0000 0.0000 0.0000
Gd1 0.5000 0.5000 0.5000
Sn1 0.2500 0.2500 0.2500
Br1 0.7500 0.7500 0.7500